Crystalline LaMoP2O at its relaxed geometry. Source: the Alexandria database, functional PBE with a Hubbard U.

Output
M_tot   2.29 μB/cell
Energy relative to the lowest polymorph listed for this composition   1.106 eV per atom
Calculated volume   133 Å³ per cell

Unit cell a=5.6270 b=5.6270 c=4.2101 alpha=90.00 beta=90.00 gamma=90.00
Site moments in Bohr magnetons follow the coordinates.
Fractional positions:
P1 0.0000 0.5000 0.0000  -0.45
P2 0.5000 0.0000 0.0000  -0.45
La1 0.0000 0.0000 0.0000  -0.07
Mo1 0.5000 0.5000 0.5000  3.90
O1 0.0000 0.0000 0.5000  -0.12